No. 1
NbB2O | GGA-PBE | optimized geometry

Cell lengths 5.1144, 5.1144, 6.1871 Å; angles 90.00, 90.00, 90.00 degrees
Space group I-42d (No. 122)
Inequivalent atoms, fractional coordinates:
Nb 0.0000 0.0000 0.0000
B 0.1424 0.2500 0.6250
O 0.0000 0.0000 0.5000

Summary:
Its density is 5.36 g/cm³. The electronic total energy comes out at -110.50 eV per cell. The value obtained for the formation energy without anion corrections is 4.4 kcal/mol of atoms. The value obtained for the density of states at the Fermi level is 2.03 states/eV/f.u.



No. 2
NbBO6 | GGA-PBE | optimized geometry

Cell lengths 7.2481, 7.2481, 7.2481 Å; angles 90.00, 90.00, 90.00 degrees
Space group Fm-3m (No. 225)
Inequivalent atoms, fractional coordinates:
Nb 0.0000 0.0000 0.0000
B 0.0000 0.0000 0.5000
O 0.0000 0.0000 0.2749

Summary:
Its density is 3.48 g/cm³. The electronic total energy comes out at -217.09 eV per cell. The value obtained for the formation energy without anion corrections is -22.4 kcal/mol of atoms. The value obtained for the density of states at the Fermi level is 4.66 states/eV/f.u.



No. 3
Nb2BO | GGA-PBE | optimized geometry

Cell lengths 5.7003, 5.7003, 5.7003 Å; angles 90.00, 90.00, 90.00 degrees
Space group Fm-3m (No. 225)
Inequivalent atoms, fractional coordinates:
Nb 0.2500 0.2500 0.2500
B 0.0000 0.0000 0.0000
O 0.0000 0.0000 0.5000

Summary:
Its density is 7.62 g/cm³. The electronic total energy comes out at -135.62 eV per cell. The value obtained for the formation energy without anion corrections is -12.3 kcal/mol of atoms. The value obtained for the density of states at the Fermi level is 2.01 states/eV/f.u.



No. 4
NbBO2 | GGA-PBE | optimized geometry

Cell lengths 5.2565, 5.2565, 10.2594 Å; angles 90.00, 90.00, 90.00 degrees
Space group I-42d (No. 122)
Inequivalent atoms, fractional coordinates:
Nb 0.0000 0.0000 0.0000
B 0.0000 0.0000 0.5000
O 0.1043 0.2500 0.1250

Summary:
Its density is 3.18 g/cm³. The electronic total energy comes out at -111.16 eV per cell. The value obtained for the formation energy without anion corrections is -6.5 kcal/mol of atoms. The value obtained for the density of states at the Fermi level is 2.58 states/eV/f.u.



No. 5
NbB5O10 | GGA-PBE | optimized geometry

Cell lengths 7.7382, 15.6157, 7.7523 Å; angles 90.00, 90.12, 90.00 degrees
Space group P2_1/c (No. 14)
Inequivalent atoms, fractional coordinates:
Nb 0.1881 0.1186 0.4797
B 0.1707 0.7272 0.9961
B 0.2298 0.0116 0.1212
B 0.2346 0.0000 0.8202
B 0.2998 0.6286 0.4933
B 0.4727 0.7400 0.9979
O 0.0243 0.6733 0.0010
O 0.1499 0.6878 0.4996
O 0.1938 0.0491 0.9632
O 0.1991 0.0627 0.2682
O 0.2090 0.0394 0.6580
O 0.2887 0.5685 0.6409
O 0.2929 0.5806 0.3275
O 0.3300 0.6868 0.9892
O 0.3650 0.1985 0.4963
O 0.4664 0.6745 0.5020

Summary:
Its density is 2.18 g/cm³. The electronic total energy comes out at -523.62 eV per cell. The value obtained for the formation energy without anion corrections is -54.6 kcal/mol of atoms. The value obtained for the density of states at the Fermi level is 0.00 states/eV/f.u.



No. 6
NbBO2 | GGA-PBE | optimized geometry

Cell lengths 2.8399, 2.8399, 17.4820 Å; angles 90.00, 90.00, 120.00 degrees
Space group R-3m (No. 166, hexagonal axes)
Inequivalent atoms, fractional coordinates:
Nb 0.0000 0.0000 0.0000
B 0.0000 0.0000 0.5000
O 0.0000 0.0000 0.4226

Summary:
Its density is 5.54 g/cm³. The electronic total energy comes out at -93.98 eV per cell. The value obtained for the formation energy without anion corrections is -26.9 kcal/mol of atoms. The value obtained for the density of states at the Fermi level is 2.82 states/eV/f.u.



No. 7
NbBPO2 | GGA-PBE | optimized geometry

Cell lengths 3.8342, 3.8342, 5.3715 Å; angles 90.00, 90.00, 90.00 degrees
Space group P4/mmm (No. 123)
Inequivalent atoms, fractional coordinates:
Nb 0.0000 0.0000 0.0000
B 0.5000 0.5000 0.5000
P 0.0000 0.0000 0.5000
O 0.0000 0.5000 0.0000

Summary:
Its density is 3.51 g/cm³. The electronic total energy comes out at -34.15 eV per cell. The value obtained for the formation energy without anion corrections is -9.6 kcal/mol of atoms. The value obtained for the density of states at the Fermi level is 1.37 states/eV/f.u.



No. 8
NbBPO2 | GGA-PBE | optimized geometry

Cell lengths 3.5355, 3.5355, 4.1492 Å; angles 90.00, 90.00, 90.00 degrees
Space group P4/mmm (No. 123)
Inequivalent atoms, fractional coordinates:
Nb 0.0000 0.0000 0.0000
B 0.5000 0.5000 0.5000
P 0.5000 0.5000 0.0000
O 0.0000 0.5000 0.5000

Summary:
Its density is 5.34 g/cm³. The electronic total energy comes out at -33.02 eV per cell. The value obtained for the formation energy without anion corrections is -4.3 kcal/mol of atoms. The value obtained for the density of states at the Fermi level is 2.72 states/eV/f.u.



No. 9
PmNbB2O8 | GGA-PBE | optimized geometry

Cell lengths 4.9994, 4.9994, 6.6409 Å; angles 90.00, 90.00, 120.00 degrees
Space group P-3m1 (No. 164)
Inequivalent atoms, fractional coordinates:
Pm 0.0000 0.0000 0.0000
Nb 0.0000 0.0000 0.5000
B 0.3333 0.6667 0.2363
O 0.1743 0.3485 0.3062
O 0.3333 0.6667 0.0146

Summary:
Its density is 4.48 g/cm³. The electronic total energy comes out at -95.04 eV per cell. The value obtained for the formation energy without anion corrections is -52.3 kcal/mol of atoms. The value obtained for the density of states at the Fermi level is 6.28 states/eV/f.u.



No. 10
PrNbB2O8 | GGA-PBE | optimized geometry

Cell lengths 5.0070, 5.0070, 6.7369 Å; angles 90.00, 90.00, 120.00 degrees
Space group P-3m1 (No. 164)
Inequivalent atoms, fractional coordinates:
Pr 0.0000 0.0000 0.0000
Nb 0.0000 0.0000 0.5000
B 0.3333 0.6667 0.2403
O 0.1746 0.3493 0.3100
O 0.3333 0.6667 0.0215

Summary:
Its density is 4.35 g/cm³. The electronic total energy comes out at -95.14 eV per cell. The value obtained for the formation energy without anion corrections is -52.4 kcal/mol of atoms. The value obtained for the density of states at the Fermi level is 6.50 states/eV/f.u.



No. 11
RbNbB2O6 | GGA-PBE | optimized geometry

Cell lengths 7.5609, 20.2733, 12.2704 Å; angles 90.00, 128.04, 90.00 degrees
Space group Pc (No. 7)
Inequivalent atoms, fractional coordinates:
Rb 0.0000 0.0069 0.0000
Rb 0.0014 0.1931 0.4992
Rb 0.0019 0.2068 0.0015
Rb 0.0032 0.4068 0.0018
Rb 0.9989 0.3931 0.5005
Nb 0.3879 0.3324 0.8959
Nb 0.3920 0.0681 0.3948
Nb 0.3941 0.2679 0.3957
Nb 0.4024 0.4676 0.3962
Nb 0.4036 0.1321 0.8949
B 0.5056 0.0987 0.1782
B 0.5064 0.3055 0.6807
B 0.5229 0.2940 0.1859
B 0.5254 0.4990 0.6847
B 0.5358 0.1023 0.6873
B 0.8411 0.3001 0.6865
B 0.8439 0.0953 0.1871
B 0.8479 0.3005 0.1815
B 0.8536 0.4937 0.1838
B 0.8555 0.1036 0.6778
O 0.0589 0.0722 0.2641
O 0.0591 0.3196 0.7610
O 0.0686 0.2846 0.2527
O 0.0698 0.4717 0.2582
O 0.0753 0.1208 0.7486
O 0.3579 0.2860 0.5462
O 0.3627 0.1184 0.0435
O 0.3688 0.3164 0.0542
O 0.3721 0.1786 0.3955
O 0.3789 0.4220 0.8971
O 0.3806 0.4752 0.5534
O 0.3836 0.0772 0.5578
O 0.4011 0.2217 0.8963
O 0.4085 0.0214 0.8948
O 0.4219 0.3782 0.3964
O 0.4252 0.0834 0.2485
O 0.4336 0.3255 0.7533
O 0.4509 0.4836 0.2572
O 0.4597 0.2708 0.2618
O 0.4725 0.1242 0.7637
O 0.7253 0.3224 0.0486
O 0.7291 0.2752 0.5563
O 0.7299 0.0848 0.5427
O 0.7384 0.0917 0.2498
O 0.7384 0.1193 0.0569
O 0.7390 0.4855 0.5505
O 0.7398 0.3080 0.7510
O 0.7549 0.2919 0.2509
O 0.7562 0.4920 0.2515
O 0.7661 0.1080 0.7499

Summary:
Its density is 3.32 g/cm³. The electronic total energy comes out at -789.31 eV per cell. The value obtained for the formation energy without anion corrections is -57.2 kcal/mol of atoms. The value obtained for the density of states at the Fermi level is 0.00 states/eV/f.u.



No. 12
RbNbB2O6 | GGA-PBE | optimized geometry

Cell lengths 5.2026, 5.2026, 17.8797 Å; angles 90.00, 90.00, 120.00 degrees
Space group R-3 (No. 148, hexagonal axes)
Inequivalent atoms, fractional coordinates:
Rb 0.0000 0.0000 0.0000
Nb 0.0000 0.0000 0.5000
B 0.0000 0.0000 0.2306
O 0.0277 0.5038 0.8986

Summary:
Its density is 3.52 g/cm³. The electronic total energy comes out at -235.85 eV per cell. The value obtained for the formation energy without anion corrections is -56.4 kcal/mol of atoms. The value obtained for the density of states at the Fermi level is 0.00 states/eV/f.u.



No. 13
NbSiB2O | GGA-PBE | optimized geometry

Cell lengths 3.6981, 3.6981, 4.1440 Å; angles 90.00, 90.00, 90.00 degrees
Space group P4/mmm (No. 123)
Inequivalent atoms, fractional coordinates:
Nb 0.0000 0.0000 0.0000
Si 0.5000 0.5000 0.0000
B 0.0000 0.5000 0.5000
O 0.0000 0.0000 0.5000

Summary:
Its density is 4.65 g/cm³. The electronic total energy comes out at -29.67 eV per cell. The value obtained for the formation energy without anion corrections is 19.1 kcal/mol of atoms. The value obtained for the density of states at the Fermi level is 2.24 states/eV/f.u.



No. 14
NbTlB2O6 | GGA-PBE | optimized geometry

Cell lengths 8.1109, 7.6103, 9.6070 Å; angles 90.00, 90.00, 90.00 degrees
Space group Pna2_1 (No. 33)
Inequivalent atoms, fractional coordinates:
Nb 0.1664 0.2444 0.0000
Tl 0.0348 0.7429 0.8841
B 0.2284 0.5819 0.2120
B 0.2474 0.9096 0.2105
O 0.0571 0.7720 0.4994
O 0.1771 0.4398 0.1368
O 0.1842 0.4212 0.8399
O 0.2076 0.0573 0.1382
O 0.2126 0.0643 0.8442
O 0.2140 0.7471 0.1468

Summary:
Its density is 4.65 g/cm³. The electronic total energy comes out at -313.04 eV per cell. The value obtained for the formation energy without anion corrections is -52.4 kcal/mol of atoms. The value obtained for the density of states at the Fermi level is 0.00 states/eV/f.u.



No. 15
NbB3Os | GGA-PBE | optimized geometry

Cell lengths 3.9983, 3.9983, 3.9983 Å; angles 90.00, 90.00, 90.00 degrees
Space group Pm-3m (No. 221)
Inequivalent atoms, fractional coordinates:
Nb 0.0000 0.0000 0.0000
B 0.0000 0.5000 0.5000
Os 0.5000 0.5000 0.5000

Summary:
Its density is 8.20 g/cm³. The electronic total energy comes out at -36.61 eV per cell. Its formation energy is 0.945 eV per atom. The value obtained for the density of states at the Fermi level is 4.34 states/eV/f.u.



No. 16
NbBOs | GGA-PBE | optimized geometry

Cell lengths 11.1015, 3.1301, 6.4965 Å; angles 90.00, 90.00, 90.00 degrees
Space group Pmma (No. 51)
Inequivalent atoms, fractional coordinates:
Nb 0.0428 0.0000 0.2183
Nb 0.2500 0.0000 0.8550
B 0.0832 0.5000 0.9501
B 0.2500 0.0000 0.4513
Os 0.1240 0.5000 0.5706
Os 0.2500 0.5000 0.2013

Summary:
Its density is 12.97 g/cm³. The electronic total energy comes out at -176.88 eV per cell. Its formation energy is -0.501 eV per atom. The value obtained for the density of states at the Fermi level is 1.36 states/eV/f.u.